# RbAsW2 | Alexandria | PBE | optimized geometry
data_RbAsW2
_chemical_formula_sum 'Rb4 As4 W8'
_symmetry_space_group_name_H-M 'I -4 2 d'
_symmetry_Int_Tables_number 122
_symmetry_space_group_name_Hall 'I -4 2bw'
_cell_length_a 4.847
_cell_length_b 4.847
_cell_length_c 18.345
_cell_angle_alpha 90.00
_cell_angle_beta 90.00
_cell_angle_gamma 90.00
loop_
_atom_site_label
_atom_site_type_symbol
_atom_site_fract_x
_atom_site_fract_y
_atom_site_fract_z
_atom_site_occupancy
Rb1 Rb 0.000 0.000 0.000 1
As1 As 0.000 0.000 0.500 1
W1 W 0.055 0.250 0.625 1
# Fermi-level density of states	0.842	states/eV per atom
# ΔE_f	1.3752	eV/atom
# DFT total energy	-104.09	eV for the cell shown